VASP calculation (GGA-PBE) on crystalline CaSm2Y6 at its relaxed geometry.

Lattice parameters (Å, degrees): 9.2653 9.2653 11.4616 127.47 127.47 59.42
Fractional coordinates of all 18 atoms:
1 Ca 0.0098 0.9902 0.7500
2 Ca 0.9902 0.0098 0.2500
3 Sm 0.1898 0.5170 0.1677
4 Sm 0.4830 0.8102 0.3323
5 Sm 0.5170 0.1898 0.6677
6 Sm 0.8102 0.4830 0.8323
7 Y 0.1244 0.1892 0.6504
8 Y 0.1892 0.1244 0.1504
9 Y 0.1974 0.4983 0.5291
10 Y 0.2430 0.5880 0.9141
11 Y 0.4120 0.7570 0.5859
12 Y 0.4983 0.1974 0.0291
13 Y 0.5017 0.8026 0.9709
14 Y 0.5880 0.2430 0.4141
15 Y 0.7570 0.4120 0.0859
16 Y 0.8026 0.5017 0.4709
17 Y 0.8108 0.8756 0.8496
18 Y 0.8756 0.8108 0.3496

Output
* calculated total energy: -0.19879 hartree per atom
* volume: 605 Å³ per cell
* formation energy from the elements: 0.171 eV per atom